1.
SrTb2TaN4: optimized geometry, PBE.

Output
**Total energy**: -8.28 eV/atom
**Symmetry**: Cmcm (63)

a = 6.387 Å, b = 6.387 Å, c = 12.227 Å
α = 90.00°, β = 90.00°, γ = 148.49°
Atoms (fractional coordinates):
1 Sr 0.097 0.903 0.750
2 Sr 0.903 0.097 0.250
3 Tb 0.371 0.629 0.534
4 Tb 0.371 0.629 0.966
5 Tb 0.629 0.371 0.034
6 Tb 0.629 0.371 0.466
7 Ta 0.168 0.832 0.250
8 Ta 0.832 0.168 0.750
9 N 0.000 0.000 0.000
10 N 0.000 0.000 0.500
11 N 0.259 0.741 0.121
12 N 0.259 0.741 0.379
13 N 0.421 0.579 0.750
14 N 0.579 0.421 0.250
15 N 0.741 0.259 0.621
16 N 0.741 0.259 0.879

2.
SrTa2TeN: optimized geometry, PBE.

Output
**Total energy**: -7.36 eV/atom
**Symmetry**: P4/mmm (123)

a = 4.229 Å, b = 4.229 Å, c = 6.157 Å
α = 90.00°, β = 90.00°, γ = 90.00°
Atoms (fractional coordinates):
1 Sr 0.000 0.000 0.000
2 Ta 0.000 0.500 0.500
3 Ta 0.500 0.000 0.500
4 Te 0.500 0.500 0.000
5 N 0.500 0.500 0.500

3.
SrThTaN4: optimized geometry, PBE.

Output
**Total energy**: -8.82 eV/atom
**Symmetry**: Cmcm (63)

a = 7.081 Å, b = 7.081 Å, c = 5.701 Å
α = 90.00°, β = 90.00°, γ = 132.02°
Atoms (fractional coordinates):
1 Sr 0.103 0.897 0.750
2 Sr 0.897 0.103 0.250
3 Th 0.395 0.605 0.750
4 Th 0.605 0.395 0.250
5 Ta 0.238 0.762 0.250
6 Ta 0.762 0.238 0.750
7 N 0.000 0.500 0.000
8 N 0.000 0.500 0.500
9 N 0.088 0.912 0.250
10 N 0.433 0.567 0.250
11 N 0.500 0.000 0.000
12 N 0.500 0.000 0.500
13 N 0.567 0.433 0.750
14 N 0.912 0.088 0.750

4.
Sr4Th3TaN8: optimized geometry, PBE.

Output
**Total energy**: -7.92 eV/atom
**Symmetry**: R-3m (166)

a = 7.329 Å, b = 7.329 Å, c = 7.329 Å
α = 59.02°, β = 59.02°, γ = 59.02°
Atoms (fractional coordinates):
1 Sr 0.000 0.000 0.000
2 Sr 0.000 0.500 0.500
3 Sr 0.500 0.000 0.500
4 Sr 0.500 0.500 0.000
5 Th 0.000 0.000 0.500
6 Th 0.000 0.500 0.000
7 Th 0.500 0.000 0.000
8 Ta 0.500 0.500 0.500
9 N 0.237 0.237 0.237
10 N 0.263 0.718 0.718
11 N 0.282 0.282 0.737
12 N 0.282 0.737 0.282
13 N 0.718 0.263 0.718
14 N 0.718 0.718 0.263
15 N 0.737 0.282 0.282
16 N 0.763 0.763 0.763

5.
SrTaVN2: optimized geometry, PBE.

Output
**Total energy**: -5.24 eV/atom
**Symmetry**: P4/mmm (123)

a = 4.312 Å, b = 4.312 Å, c = 5.058 Å
α = 90.00°, β = 90.00°, γ = 90.00°
Atoms (fractional coordinates):
1 Sr 0.000 0.000 0.000
2 Ta 0.500 0.500 0.500
3 V 0.000 0.000 0.500
4 N 0.000 0.500 0.000
5 N 0.500 0.000 0.000

6.
SrTaZnN2: optimized geometry, PBE.

Output
**Total energy**: -4.17 eV/atom
**Symmetry**: P4/mmm (123)

a = 4.147 Å, b = 4.147 Å, c = 4.851 Å
α = 90.00°, β = 90.00°, γ = 90.00°
Atoms (fractional coordinates):
1 Sr 0.000 0.000 0.000
2 Ta 0.500 0.500 0.000
3 Zn 0.000 0.000 0.500
4 N 0.000 0.500 0.500
5 N 0.500 0.000 0.500

7.
SrTa2ZnN: optimized geometry, PBE.

Output
**Total energy**: -4.93 eV/atom
**Symmetry**: P4/mmm (123)

a = 4.706 Å, b = 4.706 Å, c = 5.890 Å
α = 90.00°, β = 90.00°, γ = 90.00°
Atoms (fractional coordinates):
1 Sr 0.000 0.000 0.000
2 Ta 0.000 0.500 0.500
3 Ta 0.500 0.000 0.500
4 Zn 0.000 0.000 0.500
5 N 0.500 0.500 0.000

8.
SrTbN: optimized geometry, PBE.

Output
**Total energy**: -5.47 eV/atom
**Symmetry**: Cmce (64)

a = 7.471 Å, b = 7.471 Å, c = 6.554 Å
α = 90.00°, β = 90.00°, γ = 88.38°
Atoms (fractional coordinates):
1 Sr 0.164 0.164 0.000
2 Sr 0.336 0.336 0.500
3 Sr 0.664 0.664 0.500
4 Sr 0.836 0.836 0.000
5 Tb 0.153 0.847 0.500
6 Tb 0.347 0.653 0.000
7 Tb 0.653 0.347 0.000
8 Tb 0.847 0.153 0.500
9 N 0.000 0.000 0.275
10 N 0.000 0.000 0.725
11 N 0.500 0.500 0.225
12 N 0.500 0.500 0.775

9.
Sr2TbN: optimized geometry, PBE.

Output
**Total energy**: -4.30 eV/atom
**Symmetry**: R-3m (166)

a = 10.613 Å, b = 10.613 Å, c = 10.613 Å
α = 20.04°, β = 20.04°, γ = 20.04°
Atoms (fractional coordinates):
1 Sr 0.121 0.121 0.121
2 Sr 0.879 0.879 0.879
3 Tb 0.000 0.000 0.000
4 N 0.500 0.500 0.500

10.
SrTbTcN3: optimized geometry, PBE.

Output
**Total energy**: -7.70 eV/atom
**Symmetry**: P2_1/m (11)

a = 6.469 Å, b = 3.515 Å, c = 9.297 Å
α = 90.00°, β = 104.96°, γ = 90.00°
Atoms (fractional coordinates):
1 Sr 0.172 0.250 0.191
2 Sr 0.828 0.750 0.809
3 Tb 0.352 0.250 0.861
4 Tb 0.648 0.750 0.139
5 Tc 0.137 0.750 0.577
6 Tc 0.863 0.250 0.423
7 N 0.008 0.250 0.651
8 N 0.286 0.750 0.012
9 N 0.408 0.750 0.682
10 N 0.592 0.250 0.318
11 N 0.714 0.250 0.988
12 N 0.992 0.750 0.349

11.
SrTb2TcN4: optimized geometry, PBE.

Output
**Total energy**: -7.80 eV/atom
**Symmetry**: Cmcm (63)

a = 6.314 Å, b = 6.314 Å, c = 12.108 Å
α = 90.00°, β = 90.00°, γ = 148.21°
Atoms (fractional coordinates):
1 Sr 0.070 0.930 0.750
2 Sr 0.930 0.070 0.250
3 Tb 0.371 0.629 0.542
4 Tb 0.371 0.629 0.958
5 Tb 0.629 0.371 0.042
6 Tb 0.629 0.371 0.458
7 Tc 0.188 0.812 0.250
8 Tc 0.812 0.188 0.750
9 N 0.000 0.000 0.000
10 N 0.000 0.000 0.500
11 N 0.260 0.740 0.114
12 N 0.260 0.740 0.386
13 N 0.406 0.594 0.750
14 N 0.594 0.406 0.250
15 N 0.740 0.260 0.614
16 N 0.740 0.260 0.886

12.
Sr3Tb2UN6: optimized geometry, PBE.

Output
**Total energy**: -7.58 eV/atom
**Symmetry**: C2/m (12)

a = 6.172 Å, b = 6.172 Å, c = 6.358 Å
α = 99.33°, β = 99.33°, γ = 119.99°
Atoms (fractional coordinates):
1 Sr 0.000 0.000 0.000
2 Sr 0.332 0.668 0.000
3 Sr 0.668 0.332 0.000
4 Tb 0.167 0.833 0.500
5 Tb 0.833 0.167 0.500
6 U 0.500 0.500 0.500
7 N 0.125 0.432 0.295
8 N 0.263 0.263 0.704
9 N 0.432 0.125 0.295
10 N 0.568 0.875 0.705
11 N 0.737 0.737 0.296
12 N 0.875 0.568 0.705

13.
SrTb2UN4: optimized geometry, PBE.

Output
**Total energy**: -8.28 eV/atom
**Symmetry**: Imma (74)

a = 7.065 Å, b = 7.065 Å, c = 7.065 Å
α = 120.12°, β = 119.45°, γ = 90.37°
Atoms (fractional coordinates):
1 Sr 0.500 0.000 0.000
2 Sr 0.500 0.500 0.500
3 Tb 0.000 0.000 0.000
4 Tb 0.000 0.000 0.500
5 Tb 0.000 0.500 0.000
6 Tb 0.500 0.000 0.500
7 U 0.000 0.500 0.500
8 U 0.500 0.500 0.000
9 N 0.205 0.722 0.483
10 N 0.242 0.250 0.508
11 N 0.242 0.734 0.992
12 N 0.261 0.278 0.983
13 N 0.739 0.722 0.017
14 N 0.758 0.266 0.008
15 N 0.758 0.750 0.492
16 N 0.795 0.278 0.517

14.
SrTb2VN4: optimized geometry, PBE.

Output
**Total energy**: -7.98 eV/atom
**Symmetry**: Cmcm (63)

a = 6.252 Å, b = 6.252 Å, c = 11.854 Å
α = 90.00°, β = 90.00°, γ = 147.96°
Atoms (fractional coordinates):
1 Sr 0.092 0.908 0.750
2 Sr 0.908 0.092 0.250
3 Tb 0.371 0.629 0.541
4 Tb 0.371 0.629 0.959
5 Tb 0.629 0.371 0.041
6 Tb 0.629 0.371 0.459
7 V 0.175 0.825 0.250
8 V 0.825 0.175 0.750
9 N 0.000 0.000 0.000
10 N 0.000 0.000 0.500
11 N 0.260 0.740 0.124
12 N 0.260 0.740 0.376
13 N 0.405 0.595 0.750
14 N 0.595 0.405 0.250
15 N 0.740 0.260 0.624
16 N 0.740 0.260 0.876

15.
Sr2TbWN4: optimized geometry, PBE.

Output
**Total energy**: -7.78 eV/atom
**Symmetry**: Pmn2_1 (31)

a = 7.677 Å, b = 6.994 Å, c = 5.645 Å
α = 90.00°, β = 90.00°, γ = 90.00°
Atoms (fractional coordinates):
1 Sr 0.246 0.161 0.000
2 Sr 0.254 0.839 0.500
3 Sr 0.746 0.839 0.500
4 Sr 0.754 0.161 0.000
5 Tb 0.000 0.659 0.013
6 Tb 0.500 0.341 0.513
7 W 0.000 0.349 0.533
8 W 0.500 0.651 0.033
9 N 0.000 0.367 0.864
10 N 0.000 0.606 0.415
11 N 0.211 0.217 0.459
12 N 0.289 0.783 0.959
13 N 0.500 0.394 0.915
14 N 0.500 0.633 0.364
15 N 0.711 0.783 0.959
16 N 0.789 0.217 0.459

16.
SrTbW2N6: optimized geometry, PBE.

Output
**Total energy**: -8.91 eV/atom
**Symmetry**: C2/c (15)

a = 7.674 Å, b = 7.674 Å, c = 6.561 Å
α = 107.09°, β = 107.09°, γ = 83.74°
Atoms (fractional coordinates):
1 Sr 0.092 0.908 0.750
2 Sr 0.908 0.092 0.250
3 Tb 0.282 0.718 0.250
4 Tb 0.718 0.282 0.750
5 W 0.211 0.377 0.801
6 W 0.377 0.211 0.301
7 W 0.623 0.789 0.699
8 W 0.789 0.623 0.199
9 N 0.002 0.242 0.679
10 N 0.145 0.615 0.858
11 N 0.242 0.002 0.179
12 N 0.323 0.367 0.101
13 N 0.367 0.323 0.601
14 N 0.385 0.855 0.642
15 N 0.615 0.145 0.358
16 N 0.633 0.677 0.399
17 N 0.677 0.633 0.899
18 N 0.758 0.998 0.821
19 N 0.855 0.385 0.142
20 N 0.998 0.758 0.321

17.
SrTbZnN2: optimized geometry, PBE.

Output
**Total energy**: -5.41 eV/atom
**Symmetry**: P2/c (13)

a = 5.596 Å, b = 5.365 Å, c = 6.702 Å
α = 90.00°, β = 90.03°, γ = 90.00°
Atoms (fractional coordinates):
1 Sr 0.000 0.001 0.250
2 Sr 0.000 0.999 0.750
3 Tb 0.500 0.500 0.250
4 Tb 0.500 0.500 0.750
5 Zn 0.500 0.000 0.000
6 Zn 0.500 0.000 0.500
7 N 0.291 0.273 0.000
8 N 0.291 0.727 0.500
9 N 0.709 0.273 0.500
10 N 0.709 0.727 0.000

18.
Sr4TcN4: optimized geometry, PBE.

Output
**Total energy**: -5.95 eV/atom
**Symmetry**: P4_2/nmc (137)

a = 7.188 Å, b = 7.188 Å, c = 6.474 Å
α = 90.00°, β = 90.00°, γ = 90.00°
Atoms (fractional coordinates):
1 Sr 0.028 0.250 0.115
2 Sr 0.250 0.028 0.615
3 Sr 0.250 0.472 0.615
4 Sr 0.472 0.250 0.115
5 Sr 0.528 0.750 0.885
6 Sr 0.750 0.528 0.385
7 Sr 0.750 0.972 0.385
8 Sr 0.972 0.750 0.885
9 Tc 0.250 0.750 0.250
10 Tc 0.750 0.250 0.750
11 N 0.047 0.750 0.454
12 N 0.250 0.547 0.046
13 N 0.250 0.953 0.046
14 N 0.453 0.750 0.454
15 N 0.547 0.250 0.546
16 N 0.750 0.047 0.954
17 N 0.750 0.453 0.954
18 N 0.953 0.250 0.546

19.
Sr2TcN: optimized geometry, PBE.

Output
**Total energy**: -5.68 eV/atom
**Symmetry**: I-42d (122)

a = 7.737 Å, b = 7.737 Å, c = 7.737 Å
α = 93.61°, β = 93.61°, γ = 150.95°
Atoms (fractional coordinates):
1 Sr 0.375 0.182 0.307
2 Sr 0.818 0.125 0.193
3 Sr 0.875 0.068 0.693
4 Sr 0.932 0.625 0.807
5 Tc 0.250 0.750 0.500
6 Tc 0.500 0.500 0.000
7 N 0.000 0.000 0.000
8 N 0.750 0.250 0.500

20.
SrTc2N: optimized geometry, PBE.

Output
**Total energy**: -7.37 eV/atom
**Symmetry**: I-42d (122)

a = 6.229 Å, b = 6.229 Å, c = 6.229 Å
α = 119.97°, β = 119.97°, γ = 90.05°
Atoms (fractional coordinates):
1 Sr 0.000 0.000 0.000
2 Sr 0.750 0.250 0.500
3 Tc 0.374 0.125 0.749
4 Tc 0.375 0.626 0.751
5 Tc 0.376 0.625 0.251
6 Tc 0.875 0.624 0.249
7 N 0.250 0.750 0.500
8 N 0.500 0.500 0.000

no.,formation energy from raw total energies (eV/atom)
1,-1.263
2,0.008
3,-1.072
4,-1.201
5,2.624
6,2.120
7,2.070
8,-0.588
9,-0.218
10,-0.756
11,-0.976
12,-1.288
13,-1.343
14,-1.305
15,-0.996
16,-0.689
17,-0.565
18,-0.351
19,-0.164
20,0.320